VASP calculation (PBE) on a relaxed LaSb2TeH crystal.

a = 6.200 Å, b = 6.200 Å, c = 6.144 Å
α = 90.00°, β = 90.00°, γ = 90.00°
Fractional positions:
Te 0.000 0.000 0.500
Sb 0.000 0.500 0.000
Sb 0.500 0.000 0.000
La 0.000 0.000 0.000
H 0.500 0.500 0.500

Results
excess energy over the best structure of this formula in the dataset	1.0453	eV/atom
volume	47.24	A^3/atom
calculated density	3.6	Mg/m³
E	-3.24	eV/atom
spin magnetization	1.59	μB per cell

VASP calculation (PBE) on a relaxed LaSbTe2H crystal.

a = 6.191 Å, b = 6.191 Å, c = 6.353 Å
α = 90.00°, β = 90.00°, γ = 90.00°
Fractional positions:
Sb 0.000 0.000 0.500
La 0.000 0.000 0.000
Te 0.500 0.000 0.000
Te 0.000 0.500 0.000
H 0.500 0.500 0.500

Results
excess energy over the best structure of this formula in the dataset	0.8916	eV/atom
volume	48.71	A^3/atom
calculated density	3.5	Mg/m³
E	-3.27	eV/atom
spin magnetization	1.95	μB per cell

VASP calculation (PBE) on a relaxed LaSb2TeH crystal.

a = 4.549 Å, b = 4.549 Å, c = 5.917 Å
α = 90.00°, β = 90.00°, γ = 90.00°
Fractional positions:
La 0.500 0.500 0.500
H 0.000 0.000 0.000
Sb 0.500 0.000 0.000
Sb 0.000 0.500 0.000
Te 0.000 0.000 0.500

Results
excess energy over the best structure of this formula in the dataset	0.0000	eV/atom
volume	24.49	A^3/atom
calculated density	6.9	Mg/m³
E	-4.29	eV/atom
spin magnetization	0.00	μB per cell